Model a:
Here is an optimized crystal structure of ReAsPSe2 from the Alexandria database. Energies are from PBE.

Results
theoretical density = 7716 kg/m3
density of states at the Fermi level = 5.44 states/eV/cell

Lattice parameters (Å, degrees): 4.6240 4.6240 4.5296 90.00 90.00 90.00
Closest atoms and distances in Å follow each position.
Space group P4/mmm (No. 123)
Inequivalent atoms, fractional coordinates:
Re1 0.0000 0.0000 0.0000 x1  8 Se 3.24, 4 As 3.27
As1 0.5000 0.5000 0.0000 x1  2 P 2.26
P1 0.5000 0.5000 0.5000 x1  2 As 2.26, 4 Se 2.31
Se1 0.0000 0.5000 0.5000 x2  2 P 2.31


Model b:
Here is an optimized crystal structure of ReAsPSe2 from the Alexandria database. Energies are from PBE.

Results
theoretical density = 6630 kg/m3
density of states at the Fermi level = 5.41 states/eV/cell

Lattice parameters (Å, degrees): 4.7782 4.7782 4.9366 90.00 90.00 90.00
Closest atoms and distances in Å follow each position.
Space group P4/mmm (No. 123)
Inequivalent atoms, fractional coordinates:
Re1 0.0000 0.0000 0.0000 x1  4 Se 2.39, 2 As 2.47
As1 0.0000 0.0000 0.5000 x1  2 Re 2.47
P1 0.5000 0.5000 0.5000 x1  4 As 3.38, 8 Se 3.44
Se1 0.0000 0.5000 0.0000 x2  2 Re 2.39


It is model a that is the least stable of them.


Model a:
Here is an optimized crystal structure of As2PRhSe from the Alexandria database. Energies are from PBE.

Results
theoretical density = 5401 kg/m3
density of states at the Fermi level = 4.79 states/eV/cell

Lattice parameters (Å, degrees): 4.6778 4.6778 5.0957 90.00 90.00 90.00
Closest atoms and distances in Å follow each position.
Space group P4/mmm (No. 123)
Inequivalent atoms, fractional coordinates:
As1 0.0000 0.5000 0.0000 x2  2 Rh 2.34
P1 0.0000 0.0000 0.5000 x1  4 Se 3.31, 8 As 3.46
Rh1 0.5000 0.5000 0.0000 x1  4 As 2.34, 2 Se 2.55
Se1 0.5000 0.5000 0.5000 x1  2 Rh 2.55


Model b:
Here is an optimized crystal structure of As2PRhSe from the Alexandria database. Energies are from PBE.

Results
theoretical density = 5997 kg/m3
density of states at the Fermi level = 3.25 states/eV/cell

Lattice parameters (Å, degrees): 4.6036 4.6036 4.7386 90.00 90.00 90.00
Closest atoms and distances in Å follow each position.
Space group P4/mmm (No. 123)
Inequivalent atoms, fractional coordinates:
As1 0.0000 0.5000 0.0000 x2  2 P 2.30
P1 0.0000 0.0000 0.0000 x1  4 As 2.30, 2 Se 2.37
Rh1 0.5000 0.5000 0.5000 x1  4 Se 3.26, 8 As 3.30
Se1 0.0000 0.0000 0.5000 x1  2 P 2.37


It is model b that is the least stable of them.


Model a:
Here is an optimized crystal structure of As2P2Ru from the Alexandria database. Energies are from PBE.

Results
theoretical density = 5813 kg/m3
density of states at the Fermi level = 6.91 states/eV/cell

Lattice parameters (Å, degrees): 3.1458 3.1458 18.0601 90.00 90.00 90.00
Closest atoms and distances in Å follow each position.
Space group I4/mmm (No. 139)
Inequivalent atoms, fractional coordinates:
As1 0.0000 0.0000 0.0826 x4  4 Ru 2.68, 1 As 2.98
P1 0.0000 0.5000 0.2500 x4  4 P 2.22
Ru1 0.0000 0.0000 0.5000 x2  8 As 2.68


Model b:
Here is an optimized crystal structure of As2P2Ru from the Alexandria database. Energies are from PBE.

Results
theoretical density = 5964 kg/m3
density of states at the Fermi level = 3.66 states/eV/cell

Lattice parameters (Å, degrees): 7.0704 7.0704 3.4853 90.00 90.00 90.00
Closest atoms and distances in Å follow each position.
Space group P4/mbm (No. 127)
Inequivalent atoms, fractional coordinates:
As1 0.1567 0.3433 0.0000 x4  2 P 2.33
P1 0.1884 0.6884 0.5000 x4  2 As 2.33
Ru1 0.0000 0.0000 0.0000 x2  4 As 2.67


It is model b that is the least stable of them.


Model a:
Here is an optimized crystal structure of As2PRuSe from the Alexandria database. Energies are from PBE.

Results
theoretical density = 6116 kg/m3
density of states at the Fermi level = 2.30 states/eV/cell

Lattice parameters (Å, degrees): 4.5562 4.5562 4.7197 90.00 90.00 90.00
Closest atoms and distances in Å follow each position.
Space group P4/mmm (No. 123)
Inequivalent atoms, fractional coordinates:
As1 0.0000 0.5000 0.0000 x2  2 P 2.28
P1 0.0000 0.0000 0.0000 x1  4 As 2.28, 2 Se 2.36
Ru1 0.5000 0.5000 0.5000 x1  4 Se 3.22, 8 As 3.28
Se1 0.0000 0.0000 0.5000 x1  2 P 2.36


Model b:
Here is an optimized crystal structure of As2PRuSe from the Alexandria database. Energies are from PBE.

Results
theoretical density = 5371 kg/m3
density of states at the Fermi level = 4.27 states/eV/cell

Lattice parameters (Å, degrees): 4.6208 4.6208 5.2248 90.00 90.00 90.00
Closest atoms and distances in Å follow each position.
Space group P4/mmm (No. 123)
Inequivalent atoms, fractional coordinates:
As1 0.0000 0.5000 0.0000 x2  2 Ru 2.31
P1 0.0000 0.0000 0.5000 x1  4 Se 3.27, 8 As 3.49
Ru1 0.5000 0.5000 0.0000 x1  4 As 2.31
Se1 0.5000 0.5000 0.5000 x1  2 Ru 2.61


It is model a that is the least stable of them.


Model a:
Here is an optimized crystal structure of AsP2S2 from the Alexandria database. Energies are from PBE.

Results
theoretical density = 3232 kg/m3
density of states at the Fermi level = 4.06 states/eV/cell

Lattice parameters (Å, degrees): 4.5875 4.5875 4.9076 90.00 90.00 90.00
Closest atoms and distances in Å follow each position.
Space group P4/mmm (No. 123)
Inequivalent atoms, fractional coordinates:
As1 0.0000 0.0000 0.0000 x1  4 S 2.29, 2 P 2.45
P1 0.0000 0.0000 0.5000 x1  2 As 2.45
P2 0.5000 0.5000 0.5000 x1  4 P 3.24, 8 S 3.36
S1 0.0000 0.5000 0.0000 x2  2 As 2.29


Model b:
Here is an optimized crystal structure of AsP2S2 from the Alexandria database. Energies are from PBE.

Results
theoretical density = 3684 kg/m3
density of states at the Fermi level = 3.22 states/eV/cell

Lattice parameters (Å, degrees): 4.4934 4.4934 4.4875 90.00 90.00 90.00
Closest atoms and distances in Å follow each position.
Space group P4/mmm (No. 123)
Inequivalent atoms, fractional coordinates:
As1 0.0000 0.0000 0.0000 x1  8 S 3.18, 4 P 3.18
P1 0.5000 0.5000 0.0000 x1  2 P 2.24
P2 0.5000 0.5000 0.5000 x1  2 P 2.24, 4 S 2.25
S1 0.0000 0.5000 0.5000 x2  2 P 2.25


It is model a that is the least stable of them.


Model a:
Here is an optimized crystal structure of As2PS from the Alexandria database. Energies are from PBE.

Results
theoretical density = 5187 kg/m3
density of states at the Fermi level = 7.19 states/eV/cell

Lattice parameters (Å, degrees): 6.4841 6.4841 6.4841 90.00 90.00 90.00
Closest atoms and distances in Å follow each position.
Space group Fm-3m (No. 225)
Inequivalent atoms, fractional coordinates:
As1 0.2500 0.2500 0.2500 x8  4 S 2.81, 4 P 2.81
P1 0.0000 0.0000 0.0000 x4  8 As 2.81
S1 0.0000 0.0000 0.5000 x4  8 As 2.81


Model b:
Here is an optimized crystal structure of As2PS from the Alexandria database. Energies are from PBE.

Results
theoretical density = 4057 kg/m3
density of states at the Fermi level = 9.40 states/eV/cell

Lattice parameters (Å, degrees): 6.5623 6.5623 8.0936 90.00 90.00 90.00
Closest atoms and distances in Å follow each position.
Space group I-42d (No. 122)
Inequivalent atoms, fractional coordinates:
As1 0.2338 0.7500 0.1250 x8  2 P 2.46, 2 S 2.60
P1 0.0000 0.0000 0.0000 x4  4 As 2.46
S1 0.0000 0.0000 0.5000 x4  4 As 2.60


It is model a that is the least stable of them.